## Ca2FeSe (PBE-GGA)

Data for a geometry-optimized Ca2FeSe structure.

Output
Magnetization   2.15 Bohr magnetons per cell
Energy relative to the elements, uncorrected   -0.333 eV per atom
Symmetry   P4mm (99)
Offset from the most stable computed form   0.177 eV per atom
N(E_F)   3.675 states/eV/cell

a b c (Å): 4.197 4.199 6.046
angles (deg): 90.00 90.00 90.00
Last column: magnetic moment on the atom in μB.
Positions (direct):
Ca  0.500  0.500  0.351  -0.12
Fe  0.000  0.000  0.398  2.62
Se  0.500  0.500  0.851  0.01
Ca  0.000  0.000  0.900  -0.06

***

## LaRuBr2 (PBE-GGA)

Data for a geometry-optimized LaRuBr2 structure.

Output
Magnetization   1.36 Bohr magnetons per cell
Energy relative to the elements, uncorrected   -0.284 eV per atom
Symmetry   I-4m2 (119)
Offset from the most stable computed form   0.468 eV per atom
N(E_F)   4.657 states/eV/cell

a b c (Å): 5.989 5.989 5.989
angles (deg): 138.29 138.29 60.45
Last column: magnetic moment on the atom in μB.
Positions (direct):
La  0.500  0.500  0.000  -0.11
Br  0.250  0.750  0.500  0.03
Br  0.000  0.000  0.000  0.01
Ru  0.750  0.250  0.500  1.37

***

## Sm4Co2Ag (PBE-GGA)

Data for a geometry-optimized Sm4Co2Ag structure.

Output
ΔE_f   -0.07 eV/atom
Magnetization   0.00 Bohr magnetons per cell
Symmetry   C2 (5)
Offset from the most stable computed form   0.029 eV per atom
N(E_F)   10.841 states/eV/cell

a b c (Å): 7.633 7.634 7.611
angles (deg): 108.44 108.46 111.64
Positions (direct):
Sm  0.265  0.149  0.755
Sm  0.760  0.145  0.745
Co  0.745  0.876  0.370
Co  0.506  0.375  0.630
Sm  0.394  0.511  0.245
Sm  0.399  0.015  0.255
Sm  0.982  0.239  0.382
Ag  0.000  0.000  0.000
Sm  0.857  0.600  0.618
Co  0.625  0.257  0.131
Ag  0.251  0.751  0.500
Sm  0.489  0.732  0.882
Co  0.125  0.494  0.869
Sm  0.850  0.607  0.118

***

## Pa3Tl4NiTe8 (PBE-GGA)

Data for a geometry-optimized Pa3Tl4NiTe8 structure.

Output
Magnetization   3.00 Bohr magnetons per cell
Energy relative to the elements, uncorrected   -0.487 eV per atom
Symmetry   C2/m (12)
N(E_F)   21.164 states/eV/cell

a b c (Å): 8.602 9.762 8.612
angles (deg): 116.21 119.96 90.00
Last column: magnetic moment on the atom in μB.
Positions (direct):
Tl  0.000  0.000  0.500  0.00
Pa  0.500  0.500  0.000  1.12
Pa  0.000  0.500  0.500  1.12
Te  0.223  0.702  0.978  -0.04
Tl  0.500  0.000  0.000  -0.01
Te  0.260  0.279  0.519  -0.03
Te  0.245  0.298  0.022  -0.04
Te  0.776  0.297  0.551  -0.04
Pa  0.500  0.500  0.500  1.12
Te  0.755  0.702  0.978  -0.04
Ni  0.000  0.500  0.000  -0.64
Tl  0.500  0.000  0.500  0.00
Te  0.777  0.298  0.022  -0.04
Te  0.224  0.703  0.449  -0.04
Te  0.740  0.721  0.481  -0.03
Tl  0.000  0.000  0.000  0.00

***

## Ta3CdPb (PBE-GGA)

Data for a geometry-optimized Ta3CdPb structure.

Output
ΔE_f   1.99 eV/atom
Magnetization   0.00 Bohr magnetons per cell
Symmetry   Pm-3m (221)
Offset from the most stable computed form   0.000 eV per atom
N(E_F)   7.578 states/eV/cell

a b c (Å): 5.008 5.008 5.008
angles (deg): 90.00 90.00 90.00
Positions (direct):
Ta  0.000  0.500  0.000
Pb  0.500  0.500  0.500
Ta  0.000  0.000  0.500
Cd  0.000  0.000  0.000
Ta  0.500  0.000  0.000

***

## NaPmZnHg (PBE-GGA)

Data for a geometry-optimized NaPmZnHg structure.

Output
ΔE_f   -0.23 eV/atom
Magnetization   0.00 Bohr magnetons per cell
Symmetry   F-43m (216)
N(E_F)   2.684 states/eV/cell

a b c (Å): 5.163 5.163 5.163
angles (deg): 60.00 60.00 60.00
Positions (direct):
Hg  0.000  0.000  0.000
Na  0.250  0.250  0.250
Zn  0.500  0.500  0.500
Pm  0.750  0.750  0.750